# 1
The following is a DFT calculation (PBE-GGA) of NdMg2Ir after structural relaxation.

Structure (CIF):
```
data_NdMg2Ir
_chemical_formula_sum 'Nd8 Mg16 Ir8'
_symmetry_space_group_name_H-M 'P n m a'
_symmetry_Int_Tables_number 62
_symmetry_space_group_name_Hall '-P 2ac 2n'
_cell_length_a 15.6493
_cell_length_b 8.3267
_cell_length_c 5.5426
_cell_angle_alpha 90.00
_cell_angle_beta 90.00
_cell_angle_gamma 90.00
loop_
_atom_site_label
_atom_site_fract_x
_atom_site_fract_y
_atom_site_fract_z
Nd1 0.1041 0.2500 0.2433
Nd2 0.1359 0.7500 0.0429
Mg1 0.0427 0.0569 0.7280
Mg2 0.2115 0.5567 0.5342
Ir1 0.0678 0.7500 0.5377
Ir2 0.1892 0.2500 0.7364
```

Values from the calculation:
Energy relative to the elements (eV per formula unit): -1.80

---

# 2
The following is a DFT calculation (PBE-GGA) of La2HgW after structural relaxation.

Structure (CIF):
```
data_La2HgW
_chemical_formula_sum 'La8 Hg4 W4'
_symmetry_space_group_name_H-M 'I -4 2 d'
_symmetry_Int_Tables_number 122
_symmetry_space_group_name_Hall 'I -4 2bw'
_cell_length_a 8.3469
_cell_length_b 8.3469
_cell_length_c 6.1993
_cell_angle_alpha 90.00
_cell_angle_beta 90.00
_cell_angle_gamma 90.00
loop_
_atom_site_label
_atom_site_fract_x
_atom_site_fract_y
_atom_site_fract_z
La1 0.2065 0.2500 0.1250
Hg1 0.0000 0.0000 0.5000
W1 0.0000 0.0000 0.0000
```

Values from the calculation:
Energy relative to the elements (eV per formula unit): 2.28

---

# 3
The following is a DFT calculation (PBE-GGA) of BaCo3Sb after structural relaxation.

Structure (CIF):
```
data_BaCo3Sb
_chemical_formula_sum 'Ba1 Co3 Sb1'
_symmetry_space_group_name_H-M 'P m -3 m'
_symmetry_Int_Tables_number 221
_symmetry_space_group_name_Hall '-P 4 2 3'
_cell_length_a 4.8854
_cell_length_b 4.8854
_cell_length_c 4.8854
_cell_angle_alpha 90.00
_cell_angle_beta 90.00
_cell_angle_gamma 90.00
loop_
_atom_site_label
_atom_site_fract_x
_atom_site_fract_y
_atom_site_fract_z
Ba1 0.0000 0.0000 0.0000
Co1 0.0000 0.0000 0.5000
Sb1 0.5000 0.5000 0.5000
```

Values from the calculation:
E above lowest polymorph (eV/f.u.): 6.97
Raw formation energy (eV/atom): 1.98

---

# 4
The following is a DFT calculation (PBE-GGA) of AlSN3 after structural relaxation.

Structure (CIF):
```
data_AlSN3
_chemical_formula_sum 'Al1 S1 N3'
_symmetry_space_group_name_H-M 'P m -3 m'
_symmetry_Int_Tables_number 221
_symmetry_space_group_name_Hall '-P 4 2 3'
_cell_length_a 3.7789
_cell_length_b 3.7789
_cell_length_c 3.7789
_cell_angle_alpha 90.00
_cell_angle_beta 90.00
_cell_angle_gamma 90.00
loop_
_atom_site_label
_atom_site_fract_x
_atom_site_fract_y
_atom_site_fract_z
Al1 0.0000 0.0000 0.0000
S1 0.5000 0.5000 0.5000
N1 0.0000 0.0000 0.5000
```

Values from the calculation:
Raw formation energy (eV/atom): 1.61

---

# 5
The following is a DFT calculation (PBE-GGA) of ZrSiMo2 after structural relaxation.

Structure (CIF):
```
data_ZrSiMo2
_chemical_formula_sum 'Zr2 Si2 Mo4'
_symmetry_space_group_name_H-M 'I 4/m m m'
_symmetry_Int_Tables_number 139
_symmetry_space_group_name_Hall '-I 4 2'
_cell_length_a 3.8002
_cell_length_b 3.8002
_cell_length_c 9.2769
_cell_angle_alpha 90.00
_cell_angle_beta 90.00
_cell_angle_gamma 90.00
loop_
_atom_site_label
_atom_site_fract_x
_atom_site_fract_y
_atom_site_fract_z
Zr1 0.0000 0.0000 0.0000
Si1 0.0000 0.0000 0.5000
Mo1 0.0000 0.5000 0.2500
```

Values from the calculation:
Raw formation energy (eV/atom): -0.08

---

# 6
The following is a DFT calculation (PBE-GGA) of YNiRh2 after structural relaxation.

Structure (CIF):
```
data_YNiRh2
_chemical_formula_sum 'Y2 Ni2 Rh4'
_symmetry_space_group_name_H-M 'I -4 m 2'
_symmetry_Int_Tables_number 119
_symmetry_space_group_name_Hall 'I -4 -2'
_cell_length_a 4.0359
_cell_length_b 4.0359
_cell_length_c 7.9746
_cell_angle_alpha 90.00
_cell_angle_beta 90.00
_cell_angle_gamma 90.00
loop_
_atom_site_label
_atom_site_fract_x
_atom_site_fract_y
_atom_site_fract_z
Y1 0.0000 0.0000 0.0000
Ni1 0.0000 0.5000 0.2500
Rh1 0.0000 0.0000 0.5000
Rh2 0.0000 0.5000 0.7500
```

Values from the calculation:
Energy relative to the elements (eV per formula unit): -1.20

---

# 7
The following is a DFT calculation (PBE-GGA) of Li4Er3HfTe8 after structural relaxation.

Structure (CIF):
```
data_Li4Er3HfTe8
_chemical_formula_sum 'Li12 Er9 Hf3 Te24'
_symmetry_space_group_name_H-M 'R -3 m'
_symmetry_Int_Tables_number 166
_symmetry_space_group_name_Hall '-R 3 2"'
_cell_length_a 8.4748
_cell_length_b 8.4748
_cell_length_c 21.1745
_cell_angle_alpha 90.00
_cell_angle_beta 90.00
_cell_angle_gamma 120.00
loop_
_atom_site_label
_atom_site_fract_x
_atom_site_fract_y
_atom_site_fract_z
Li1 0.0000 0.0000 0.0000
Li2 0.0000 0.5000 0.0000
Er1 0.0000 0.5000 0.5000
Hf1 0.0000 0.0000 0.5000
Te1 0.0000 0.0000 0.2525
Te2 0.0117 0.5058 0.2503
```

Values from the calculation:
Raw formation energy (eV/atom): -1.15

---

# 8
The following is a DFT calculation (PBE-GGA) of BaAl2Pt after structural relaxation.

Structure (CIF):
```
data_BaAl2Pt
_chemical_formula_sum 'Ba4 Al8 Pt4'
_symmetry_space_group_name_H-M 'F m -3 m'
_symmetry_Int_Tables_number 225
_symmetry_space_group_name_Hall '-F 4 2 3'
_cell_length_a 6.9999
_cell_length_b 6.9999
_cell_length_c 6.9999
_cell_angle_alpha 90.00
_cell_angle_beta 90.00
_cell_angle_gamma 90.00
loop_
_atom_site_label
_atom_site_fract_x
_atom_site_fract_y
_atom_site_fract_z
Ba1 0.0000 0.0000 0.0000
Al1 0.2500 0.2500 0.2500
Pt1 0.0000 0.0000 0.5000
```

Values from the calculation:
Energy relative to the elements (eV per formula unit): -0.53

---

# 9
The following is a DFT calculation (PBE-GGA) of Ba2Os3PdO12 after structural relaxation.

Structure (CIF):
```
data_Ba2Os3PdO12
_chemical_formula_sum 'Ba6 Os9 Pd3 O36'
_symmetry_space_group_name_H-M 'R -3 m'
_symmetry_Int_Tables_number 166
_symmetry_space_group_name_Hall '-R 3 2"'
_cell_length_a 7.2804
_cell_length_b 7.2804
_cell_length_c 16.9675
_cell_angle_alpha 90.00
_cell_angle_beta 90.00
_cell_angle_gamma 120.00
loop_
_atom_site_label
_atom_site_fract_x
_atom_site_fract_y
_atom_site_fract_z
Ba1 0.0000 0.0000 0.1273
Os1 0.0000 0.5000 0.0000
Pd1 0.0000 0.0000 0.5000
O1 0.0314 0.5157 0.1122
O2 0.0735 0.5368 0.3434
```

Values from the calculation:
Raw formation energy (eV/atom): -1.35

---

# 10
The following is a DFT calculation (PBE-GGA) of GaFeSiS2 after structural relaxation.

Structure (CIF):
```
data_GaFeSiS2
_chemical_formula_sum 'Ga1 Fe1 Si1 S2'
_symmetry_space_group_name_H-M 'P 4/m m m'
_symmetry_Int_Tables_number 123
_symmetry_space_group_name_Hall '-P 4 2'
_cell_length_a 4.6081
_cell_length_b 4.6081
_cell_length_c 4.3817
_cell_angle_alpha 90.00
_cell_angle_beta 90.00
_cell_angle_gamma 90.00
loop_
_atom_site_label
_atom_site_fract_x
_atom_site_fract_y
_atom_site_fract_z
Ga1 0.0000 0.0000 0.0000
Fe1 0.5000 0.5000 0.0000
Si1 0.5000 0.5000 0.5000
S1 0.0000 0.5000 0.5000
```

Values from the calculation:
Raw formation energy (eV/atom): 0.54

---

# 11
The following is a DFT calculation (PBE-GGA) of AsRu2S2 after structural relaxation.

Structure (CIF):
```
data_AsRu2S2
_chemical_formula_sum 'As2 Ru4 S4'
_symmetry_space_group_name_H-M 'I 4/m m m'
_symmetry_Int_Tables_number 139
_symmetry_space_group_name_Hall '-I 4 2'
_cell_length_a 4.0163
_cell_length_b 4.0163
_cell_length_c 10.2150
_cell_angle_alpha 90.00
_cell_angle_beta 90.00
_cell_angle_gamma 90.00
loop_
_atom_site_label
_atom_site_fract_x
_atom_site_fract_y
_atom_site_fract_z
As1 0.0000 0.0000 0.0000
Ru1 0.0000 0.5000 0.2500
S1 0.0000 0.0000 0.3668
```

Values from the calculation:
E above lowest polymorph (eV/f.u.): 0.00
Raw formation energy (eV/atom): 0.14

---

Volume for the records above, in order: 22.6 27.0 23.3 10.8 16.7 16.2 27.4 21.4 14.4 18.6 16.5 Å³ per atom